Entry 1:
The following is a DFT calculation (GGA-PBE) of a relaxed structure of Tb3GdMn.

abc: 5.316 5.316 5.316
angles: 90.00 90.00 90.00
Fractional coordinates of all 5 atoms:
Tb: 0.000 0.000 0.500
Tb: 0.000 0.500 0.000
Tb: 0.500 0.000 0.000
Gd: 0.500 0.500 0.500
Mn: 0.000 0.000 0.000

Values from the calculation:
DOS(E_F), states/eV/atom: 2.124
Energy relative to the elements, eV per formula unit: 1.20
Symmetry: Pm-3m
Magnetization, μB/atom: 1.713
E, eV per atom: -7.19


Entry 2:
The following is a DFT calculation (GGA-PBE) of a relaxed structure of TbGdMnZn.

abc: 5.048 5.048 5.048
angles: 60.00 60.00 60.00
Fractional coordinates of all 4 atoms:
Tb: 0.000 0.000 0.000
Gd: 0.500 0.500 0.500
Mn: 0.250 0.250 0.250
Zn: 0.750 0.750 0.750

Values from the calculation:
DOS(E_F), states/eV/atom: 1.254
Energy relative to the elements, eV per formula unit: -0.21
Symmetry: F-43m
Magnetization, μB/atom: 1.033
E, eV per atom: -7.34


Entry 3:
The following is a DFT calculation (GGA-PBE) of a relaxed structure of Gd2MnTc.

abc: 4.964 4.964 4.964
angles: 60.00 60.00 60.00
Fractional coordinates of all 4 atoms:
Gd: 0.250 0.250 0.250
Gd: 0.750 0.750 0.750
Mn: 0.000 0.000 0.000
Tc: 0.500 0.500 0.500

Values from the calculation:
DOS(E_F), states/eV/atom: 0.981
Energy relative to the elements, eV per formula unit: 0.84
Symmetry: Fm-3m
Magnetization, μB/atom: 4.508
ΔE to the lowest computed polymorph, meV/atom: 15
E, eV per atom: -11.71


Entry 4:
The following is a DFT calculation (GGA-PBE) of a relaxed structure of Gd2MnTc.

abc: 3.527 3.527 7.006
angles: 90.00 90.00 90.00
Fractional coordinates of all 4 atoms:
Gd: 0.000 0.000 0.233
Gd: 0.000 0.000 0.767
Mn: 0.500 0.500 0.500
Tc: 0.500 0.500 0.000

Values from the calculation:
DOS(E_F), states/eV/atom: 0.901
Energy relative to the elements, eV per formula unit: 0.78
Symmetry: P4/mmm
Magnetization, μB/atom: 4.445
ΔE to the lowest computed polymorph, meV/atom: 0
E, eV per atom: -11.73


Entry 5:
The following is a DFT calculation (GGA-PBE) of a relaxed structure of GdZrMnTc.

abc: 4.787 4.787 4.787
angles: 60.00 60.00 60.00
Fractional coordinates of all 4 atoms:
Gd: 0.000 0.000 0.000
Zr: 0.500 0.500 0.500
Mn: 0.250 0.250 0.250
Tc: 0.750 0.750 0.750

Values from the calculation:
DOS(E_F), states/eV/atom: 1.400
Energy relative to the elements, eV per formula unit: 0.21
Symmetry: F-43m
Magnetization, μB/atom: 1.049
E, eV per atom: -10.49


Entry 6:
The following is a DFT calculation (GGA-PBE) of a relaxed structure of GdThMn2.

abc: 3.621 3.621 6.915
angles: 90.00 90.00 90.00
Fractional coordinates of all 4 atoms:
Gd: 0.000 0.000 0.000
Th: 0.000 0.000 0.500
Mn: 0.500 0.500 0.291
Mn: 0.500 0.500 0.709

Values from the calculation:
DOS(E_F), states/eV/atom: 1.278
Energy relative to the elements, eV per formula unit: 0.87
Symmetry: P4/mmm
Magnetization, μB/atom: 3.107
ΔE to the lowest computed polymorph, meV/atom: 0
E, eV per atom: -9.74


Entry 7:
The following is a DFT calculation (GGA-PBE) of a relaxed structure of GdTh3Mn.

abc: 5.316 5.316 5.316
angles: 90.00 90.00 90.00
Fractional coordinates of all 5 atoms:
Gd: 0.000 0.000 0.000
Th: 0.000 0.500 0.500
Th: 0.500 0.000 0.500
Th: 0.500 0.500 0.000
Mn: 0.500 0.500 0.500

Values from the calculation:
DOS(E_F), states/eV/atom: 1.880
Energy relative to the elements, eV per formula unit: 0.68
Symmetry: Pm-3m
Magnetization, μB/atom: 1.545
E, eV per atom: -8.97


Entry 8:
The following is a DFT calculation (GGA-PBE) of a relaxed structure of GdThMn2.

abc: 5.029 5.029 3.607
angles: 90.00 90.00 90.00
Fractional coordinates of all 4 atoms:
Gd: 0.000 0.000 0.000
Th: 0.500 0.500 0.000
Mn: 0.000 0.500 0.500
Mn: 0.500 0.000 0.500

Values from the calculation:
DOS(E_F), states/eV/atom: 1.331
Energy relative to the elements, eV per formula unit: 0.97
Symmetry: P4/mmm
Magnetization, μB/atom: 3.282
ΔE to the lowest computed polymorph, meV/atom: 24
E, eV per atom: -9.72